No. 1
# LiPb3Cl, optimized geometry, DFT PBE
# **Polymorph energy (0 for the lowest one)**: 160 meV per atom
# **Raw formation energy**: 0.160 eV per atom
data_LiPb3Cl
_chemical_formula_sum 'Li1 Pb3 Cl1'
_space_group_name_H-M_alt 'P m -3 m'
_space_group_IT_number 221
_space_group_name_Hall '-P 4 2 3'
_cell_length_a 5.603
_cell_length_b 5.603
_cell_length_c 5.603
_cell_angle_alpha 90.00
_cell_angle_beta 90.00
_cell_angle_gamma 90.00
loop_
_atom_site_label
_atom_site_type_symbol
_atom_site_fract_x
_atom_site_fract_y
_atom_site_fract_z
Li1 Li 0.000 0.000 0.000
Pb1 Pb 0.000 0.500 0.500
Cl1 Cl 0.500 0.500 0.500

No. 2
# Tb2HoZn3, optimized geometry, DFT PBE
# **Calculated formation energy**: -0.34 eV/atom
data_Tb2HoZn3
_chemical_formula_sum 'Tb2 Ho1 Zn3'
_space_group_name_H-M_alt 'P -3 m 1'
_space_group_IT_number 164
_space_group_name_Hall '-P 3 2"'
_cell_length_a 5.0556
_cell_length_b 5.0556
_cell_length_c 6.1879
_cell_angle_alpha 90.00
_cell_angle_beta 90.00
_cell_angle_gamma 120.00
loop_
_atom_site_label
_atom_site_type_symbol
_atom_site_fract_x
_atom_site_fract_y
_atom_site_fract_z
Tb1 Tb 0.3333 0.6667 0.1690
Ho1 Ho 0.0000 0.0000 0.5000
Zn1 Zn 0.0000 0.0000 0.0000
Zn2 Zn 0.3333 0.6667 0.6668

No. 3
# PPt2, optimized geometry, DFT PBE
# **Calculated formation energy**: -0.04 eV/atom
data_PPt2
_chemical_formula_sum 'P4 Pt8'
_space_group_name_H-M_alt 'I 41/a m d'
_space_group_IT_number 141
_cell_length_a 3.029
_cell_length_b 3.029
_cell_length_c 20.526
_cell_angle_alpha 90.00
_cell_angle_beta 90.00
_cell_angle_gamma 90.00
loop_
_space_group_symop_operation_xyz
'x,y,z'
'-x,-y,-z'
'-y+1/4,x+3/4,z+1/4'
'y+1/4,-x+3/4,-z+1/4'
'-x+1/2,-y,z+1/2'
'x+1/2,y,-z+1/2'
'y+1/4,-x+1/4,z+3/4'
'-y+1/4,x+1/4,-z+3/4'
'x,-y,-z'
'-x,y,z'
'-y+1/4,-x+1/4,-z+3/4'
'y+1/4,x+1/4,z+3/4'
'-x+1/2,y,-z+1/2'
'x+1/2,-y,z+1/2'
'y+1/4,x+3/4,-z+1/4'
'-y+1/4,-x+3/4,z+1/4'
'x+1/2,y+1/2,z+1/2'
'-x+1/2,-y+1/2,-z+1/2'
'-y+3/4,x+1/4,z+3/4'
'y+3/4,-x+1/4,-z+3/4'
'-x,-y+1/2,z'
'x,y+1/2,-z'
'y+3/4,-x+3/4,z+1/4'
'-y+3/4,x+3/4,-z+1/4'
'x+1/2,-y+1/2,-z+1/2'
'-x+1/2,y+1/2,z+1/2'
'-y+3/4,-x+3/4,-z+1/4'
'y+3/4,x+3/4,z+1/4'
'-x,y+1/2,-z'
'x,-y+1/2,z'
'y+3/4,x+1/4,-z+3/4'
'-y+3/4,-x+1/4,z+3/4'
loop_
_atom_site_label
_atom_site_type_symbol
_atom_site_fract_x
_atom_site_fract_y
_atom_site_fract_z
P1 P 0.000 0.250 0.375
Pt1 Pt 0.000 0.250 0.807

No. 4
# KTa2Br, optimized geometry, DFT PBE
# **Polymorph energy (0 for the lowest one)**: 531 meV per atom
# **Raw formation energy**: 0.736 eV per atom
data_KTa2Br
_chemical_formula_sum 'K1 Ta2 Br1'
_space_group_name_H-M_alt 'P 1 2/m 1'
_space_group_IT_number 10
_space_group_name_Hall '-P 2y'
_cell_length_a 3.195
_cell_length_b 6.819
_cell_length_c 4.768
_cell_angle_alpha 90.00
_cell_angle_beta 91.36
_cell_angle_gamma 90.00
loop_
_atom_site_label
_atom_site_type_symbol
_atom_site_fract_x
_atom_site_fract_y
_atom_site_fract_z
K1 K 0.000 0.000 0.000
Ta1 Ta 0.260 0.500 0.224
Br1 Br 0.500 0.000 0.500

No. 5
# BaNpAs2O8, optimized geometry, DFT PBE
# **Raw formation energy**: -2.034 eV per atom
data_BaNpAs2O8
_chemical_formula_sum 'Ba1 Np1 As2 O8'
_space_group_name_H-M_alt 'P -3'
_space_group_IT_number 147
_space_group_name_Hall '-P 3'
_cell_length_a 5.5571
_cell_length_b 5.5571
_cell_length_c 7.9408
_cell_angle_alpha 90.00
_cell_angle_beta 90.00
_cell_angle_gamma 120.00
loop_
_atom_site_label
_atom_site_type_symbol
_atom_site_fract_x
_atom_site_fract_y
_atom_site_fract_z
Ba1 Ba 0.0000 0.0000 0.0000
Np1 Np 0.0000 0.0000 0.5000
As1 As 0.3333 0.6667 0.7584
O1 O 0.0969 0.3390 0.6830
O2 O 0.3333 0.6667 0.9705

No. 6
# LiIrRh2, optimized geometry, DFT PBE
# **Polymorph energy (0 for the lowest one)**: 127 meV per atom
# **Calculated formation energy**: 0.00 eV/atom
data_LiIrRh2
_chemical_formula_sum 'Li2 Ir2 Rh4'
_space_group_name_H-M_alt 'C 1 m 1'
_space_group_IT_number 8
_space_group_name_Hall 'C -2y'
_cell_length_a 8.589
_cell_length_b 2.690
_cell_length_c 6.318
_cell_angle_alpha 90.00
_cell_angle_beta 129.66
_cell_angle_gamma 90.00
loop_
_atom_site_label
_atom_site_type_symbol
_atom_site_fract_x
_atom_site_fract_y
_atom_site_fract_z
Li1 Li 0.000 0.000 0.000
Ir1 Ir 0.124 0.500 0.764
Rh1 Rh 0.240 0.000 0.523
Rh2 Rh 0.370 0.000 0.232

No. 7
# MnCoSb2, optimized geometry, DFT PBE
# **Polymorph energy (0 for the lowest one)**: 79 meV per atom
# **Raw formation energy**: 0.135 eV per atom
data_MnCoSb2
_chemical_formula_sum 'Mn1 Co1 Sb2'
_space_group_name_H-M_alt 'P 4 m m'
_space_group_IT_number 99
_space_group_name_Hall 'P 4 -2'
_cell_length_a 3.635
_cell_length_b 3.635
_cell_length_c 5.353
_cell_angle_alpha 90.00
_cell_angle_beta 90.00
_cell_angle_gamma 90.00
loop_
_atom_site_label
_atom_site_type_symbol
_atom_site_fract_x
_atom_site_fract_y
_atom_site_fract_z
Mn1 Mn 0.000 0.000 0.000
Co1 Co 0.500 0.500 0.655
Sb1 Sb 0.000 0.000 0.519
Sb2 Sb 0.500 0.500 0.141

No. 8
# Tb8Dy3Tm2, optimized geometry, DFT PBE
# **Calculated formation energy**: 0.23 eV/atom
data_Tb8Dy3Tm2
_chemical_formula_sum 'Tb16 Dy6 Tm4'
_space_group_name_H-M_alt 'C 1 2/m 1'
_space_group_IT_number 12
_space_group_name_Hall '-C 2y'
_cell_length_a 19.947
_cell_length_b 7.627
_cell_length_c 5.608
_cell_angle_alpha 90.00
_cell_angle_beta 90.03
_cell_angle_gamma 90.00
loop_
_atom_site_label
_atom_site_type_symbol
_atom_site_fract_x
_atom_site_fract_y
_atom_site_fract_z
Tb1 Tb 0.108 0.210 0.000
Tb2 Tb 0.133 0.500 0.500
Tb3 Tb 0.170 0.000 0.501
Dy1 Dy 0.000 0.214 0.500
Dy2 Dy 0.000 0.500 0.000
Tm1 Tm 0.241 0.500 0.999

No. 9
# Na2VS3, optimized geometry, DFT PBE
# **Raw formation energy**: -0.988 eV per atom
data_Na2VS3
_chemical_formula_sum 'Na8 V4 S12'
_space_group_name_H-M_alt 'P n m a'
_space_group_IT_number 62
_space_group_name_Hall '-P 2ac 2n'
_cell_length_a 8.975
_cell_length_b 3.787
_cell_length_c 15.847
_cell_angle_alpha 90.00
_cell_angle_beta 90.00
_cell_angle_gamma 90.00
loop_
_atom_site_label
_atom_site_type_symbol
_atom_site_fract_x
_atom_site_fract_y
_atom_site_fract_z
Na1 Na 0.066 0.250 0.210
Na2 Na 0.230 0.750 0.452
V1 V 0.143 0.250 0.640
S1 S 0.009 0.750 0.605
S2 S 0.152 0.750 0.069
S3 S 0.185 0.250 0.774

No. 10
# Nd5YTm6, optimized geometry, DFT PBE
# **Calculated formation energy**: 0.02 eV/atom
data_Nd5YTm6
_chemical_formula_sum 'Nd10 Y2 Tm12'
_space_group_name_H-M_alt 'I m m m'
_space_group_IT_number 71
_space_group_name_Hall '-I 2 2'
_cell_length_a 5.089
_cell_length_b 9.988
_cell_length_c 15.251
_cell_angle_alpha 90.00
_cell_angle_beta 90.00
_cell_angle_gamma 90.00
loop_
_atom_site_label
_atom_site_type_symbol
_atom_site_fract_x
_atom_site_fract_y
_atom_site_fract_z
Nd1 Nd 0.000 0.000 0.000
Nd2 Nd 0.000 0.000 0.335
Nd3 Nd 0.000 0.500 0.333
Y1 Y 0.000 0.500 0.000
Tm1 Tm 0.000 0.250 0.166
Tm2 Tm 0.000 0.250 0.500

No. 11
# CsCa2Cu2, optimized geometry, DFT PBE
# **Polymorph energy (0 for the lowest one)**: 14 meV per atom
# **Calculated formation energy**: 0.20 eV/atom
data_CsCa2Cu2
_chemical_formula_sum 'Cs2 Ca4 Cu4'
_space_group_name_H-M_alt 'I 4/m m m'
_space_group_IT_number 139
_space_group_name_Hall '-I 4 2'
_cell_length_a 5.136
_cell_length_b 5.136
_cell_length_c 12.295
_cell_angle_alpha 90.00
_cell_angle_beta 90.00
_cell_angle_gamma 90.00
loop_
_atom_site_label
_atom_site_type_symbol
_atom_site_fract_x
_atom_site_fract_y
_atom_site_fract_z
Cs1 Cs 0.000 0.000 0.000
Ca1 Ca 0.000 0.500 0.250
Cu1 Cu 0.000 0.000 0.394

No. 12
# Y3Pu4S8, optimized geometry, DFT PBE
# **Raw formation energy**: -1.864 eV per atom
data_Y3Pu4S8
_chemical_formula_sum 'Y6 Pu8 S16'
_space_group_name_H-M_alt 'C 1 2/m 1'
_space_group_IT_number 12
_space_group_name_Hall '-C 2y'
_cell_length_a 11.106
_cell_length_b 11.135
_cell_length_c 7.858
_cell_angle_alpha 90.00
_cell_angle_beta 134.71
_cell_angle_gamma 90.00
loop_
_atom_site_label
_atom_site_type_symbol
_atom_site_fract_x
_atom_site_fract_y
_atom_site_fract_z
Y1 Y 0.000 0.000 0.000
Y2 Y 0.250 0.250 0.500
Pu1 Pu 0.000 0.000 0.500
Pu2 Pu 0.000 0.500 0.000
Pu3 Pu 0.250 0.250 0.000
S1 S 0.000 0.250 0.000
S2 S 0.000 0.251 0.500
S3 S 0.249 0.000 0.495
S4 S 0.250 0.000 0.001

Number 1: density of states at the Fermi level 1.3 states/eV per cell, spin magnetization 0.00 μB/atom. Number 2: density of states at the Fermi level 7.4 states/eV per cell, spin magnetization 0.00 μB/atom. Number 3: density of states at the Fermi level 6.7 states/eV per cell, spin magnetization 0.00 μB/atom. Number 4: density of states at the Fermi level 3.0 states/eV per cell, spin magnetization 0.00 μB/atom. Number 5: density of states at the Fermi level 9.3 states/eV per cell, spin magnetization 0.25 μB/atom. Number 6: density of states at the Fermi level 9.6 states/eV per cell, spin magnetization 0.00 μB/atom. Number 7: density of states at the Fermi level 1.8 states/eV per cell, spin magnetization 0.51 μB/atom. Number 8: density of states at the Fermi level 40.5 states/eV per cell, spin magnetization 0.00 μB/atom. Number 9: density of states at the Fermi level 4.3 states/eV per cell, spin magnetization 0.17 μB/atom. Number 10: density of states at the Fermi level 33.2 states/eV per cell, spin magnetization 0.00 μB/atom. Number 11: density of states at the Fermi level 5.8 states/eV per cell, spin magnetization 0.00 μB/atom. Number 12: density of states at the Fermi level 76.3 states/eV per cell, spin magnetization 0.76 μB/atom.